(1)
{"formula": "Li2CdAs", "functional": "GGA-PBE", "state": "optimized geometry", "rho_g_cm3": 4.77, "sg": "P2/m, No. 10", "formation_energy_ev_per_atom": -0.38, "dft_energy_ev_per_cell": -10.90, "cell": [[-3.777, -0.716, 0.126], [0.395, -2.408, -1.838], [1.218, -5.919, 2.903]], "species": ["As", "Cd", "Li", "Li"], "fractional_positions": [[0.500, 0.250, 0.250], [0.500, 0.750, 0.750], [0.000, 0.960, 0.037], [0.000, 0.540, 0.463]]}

=====

(2)
{"formula": "LiCdAs2", "functional": "GGA-PBE", "state": "optimized geometry", "rho_g_cm3": 5.64, "sg": "P4/mmm, No. 123", "formation_energy_ev_per_atom": -0.16, "dft_energy_ev_per_cell": -12.75, "cell": [[-0.850, -1.615, 3.274], [-3.130, -1.407, -1.506], [2.825, -4.628, -1.548]], "species": ["As", "As", "Cd", "Li"], "fractional_positions": [[0.000, 0.000, 0.962], [0.000, 0.000, 0.538], [0.500, 0.500, 0.250], [0.500, 0.500, 0.750]]}

=====

(3)
{"formula": "Li2CdAs2", "functional": "GGA-PBE", "state": "optimized geometry", "rho_g_cm3": 5.02, "e_above_lowest_polymorph_mev_per_atom": 0, "sg": "P4/mbm, No. 127", "formation_energy_ev_per_atom": -0.33, "dft_energy_ev_per_cell": -31.40, "cell": [[-7.724, -1.818, -0.811], [0.970, -0.596, -7.895], [0.626, -2.789, 0.288]], "species": ["As", "As", "As", "As", "Li", "Li", "Li", "Li", "Cd", "Cd"], "fractional_positions": [[0.322, 0.822, 0.000], [0.822, 0.678, 0.000], [0.678, 0.178, 0.000], [0.178, 0.322, 0.000], [0.121, 0.621, 0.500], [0.621, 0.879, 0.500], [0.879, 0.379, 0.500], [0.379, 0.121, 0.500], [0.000, 0.000, 0.000], [0.500, 0.500, 0.000]]}

=====

(4)
{"formula": "LiCdAs2", "functional": "GGA-PBE", "state": "optimized geometry", "rho_g_cm3": 4.99, "sg": "Pmm2, No. 25", "formation_energy_ev_per_atom": -0.10, "dft_energy_ev_per_cell": -12.53, "cell": [[-1.164, 1.320, 2.193], [-3.559, -1.994, -0.689], [2.291, -5.694, 4.645]], "species": ["As", "As", "Cd", "Li"], "fractional_positions": [[0.000, 0.000, 0.817], [0.500, 0.500, 0.280], [0.000, 0.000, 0.473], [0.500, 0.500, 0.930]]}

=====

(5)
{"formula": "LiCd2As2", "functional": "GGA-PBE", "state": "optimized geometry", "rho_g_cm3": 5.33, "e_above_lowest_polymorph_mev_per_atom": 91, "sg": "I4/mmm, No. 139", "formation_energy_ev_per_atom": 0.00, "dft_energy_ev_per_cell": -13.04, "cell": [[-1.425, 0.581, 4.063], [-3.250, -2.785, -0.742], [1.297, -5.865, 3.617]], "species": ["As", "As", "Li", "Cd", "Cd"], "fractional_positions": [[0.750, 0.250, 0.500], [0.250, 0.750, 0.500], [0.000, 0.000, 0.000], [0.392, 0.392, 0.215], [0.608, 0.608, 0.785]]}

=====

(6)
{"formula": "LiCdAs2", "functional": "GGA-PBE", "state": "optimized geometry", "rho_g_cm3": 5.45, "sg": "I-42d, No. 122", "formation_energy_ev_per_atom": -0.02, "dft_energy_ev_per_cell": -24.43, "cell": [[-7.458, -0.003, -1.694], [-0.950, -6.326, 4.191], [-4.718, -1.588, 3.511]], "species": ["As", "As", "As", "As", "Li", "Li", "Cd", "Cd"], "fractional_positions": [[0.637, 0.125, 0.250], [0.113, 0.625, 0.250], [0.375, 0.363, 0.750], [0.875, 0.887, 0.750], [0.500, 0.500, 0.000], [0.250, 0.750, 0.500], [0.000, 0.000, 0.000], [0.750, 0.250, 0.500]]}

=====

(7)
{"formula": "LiCd2As", "functional": "GGA-PBE", "state": "optimized geometry", "rho_g_cm3": 6.37, "sg": "I4/mmm, No. 139", "formation_energy_ev_per_atom": -0.17, "dft_energy_ev_per_cell": -9.08, "cell": [[-5.332, -0.530, 0.149], [-1.758, -3.560, -3.601], [3.816, -0.143, 3.762]], "species": ["As", "Cd", "Cd", "Li"], "fractional_positions": [[0.250, 0.750, 0.500], [0.001, 0.001, 0.000], [0.499, 0.499, 0.000], [0.750, 0.250, 0.500]]}

=====

(8)
{"formula": "Li2CdAs2", "functional": "GGA-PBE", "state": "optimized geometry", "rho_g_cm3": 4.78, "e_above_lowest_polymorph_mev_per_atom": 82, "sg": "I4/mmm, No. 139", "formation_energy_ev_per_atom": -0.25, "dft_energy_ev_per_cell": -15.29, "cell": [[4.214, 0.000, 0.000], [0.000, 4.214, 0.000], [2.107, 2.107, 5.398]], "species": ["As", "As", "Li", "Li", "Cd"], "fractional_positions": [[0.388, 0.388, 0.224], [0.612, 0.612, 0.776], [0.750, 0.250, 0.500], [0.250, 0.750, 0.500], [0.000, 0.000, 0.000]]}

=====

(9)
{"formula": "LiCd2As", "functional": "GGA-PBE", "state": "optimized geometry", "rho_g_cm3": 6.19, "sg": "F-43m, No. 216", "formation_energy_ev_per_atom": -0.14, "dft_energy_ev_per_cell": -8.95, "cell": [[-1.213, 2.577, -3.964], [2.501, -0.586, -4.151], [-2.085, -2.223, -3.812]], "species": ["As", "Cd", "Cd", "Li"], "fractional_positions": [[0.500, 0.500, 0.500], [0.000, 0.000, 0.000], [0.750, 0.750, 0.750], [0.250, 0.250, 0.250]]}

=====

(10)
{"formula": "LiCd2As2", "functional": "GGA-PBE", "state": "optimized geometry", "rho_g_cm3": 5.80, "e_above_lowest_polymorph_mev_per_atom": 41, "sg": "P4/mbm, No. 127", "formation_energy_ev_per_atom": -0.05, "dft_energy_ev_per_cell": -26.58, "cell": [[-0.289, 5.198, 5.884], [4.127, -4.908, 4.538], [3.011, 1.469, -1.150]], "species": ["As", "As", "As", "As", "Li", "Li", "Cd", "Cd", "Cd", "Cd"], "fractional_positions": [[0.328, 0.828, 0.000], [0.828, 0.672, 0.000], [0.672, 0.172, 0.000], [0.172, 0.328, 0.000], [0.000, 0.000, 0.000], [0.500, 0.500, 0.000], [0.134, 0.634, 0.500], [0.634, 0.866, 0.500], [0.866, 0.366, 0.500], [0.366, 0.134, 0.500]]}

=====

(11)
{"formula": "Li3CdAs2", "functional": "GGA-PBE", "state": "optimized geometry", "rho_g_cm3": 4.39, "e_above_lowest_polymorph_mev_per_atom": 0, "sg": "Pmc2_1, No. 26", "formation_energy_ev_per_atom": -0.47, "dft_energy_ev_per_cell": -37.58, "cell": [[-2.092, 2.605, 1.097], [-5.201, -2.233, -4.618], [-3.112, -4.993, 5.920]], "species": ["Li", "Li", "Li", "Li", "Li", "Li", "Cd", "Cd", "As", "As", "As", "As"], "fractional_positions": [[0.000, 0.452, 0.912], [0.000, 0.952, 0.088], [0.500, 0.616, 0.164], [0.500, 0.116, 0.836], [0.000, 0.381, 0.333], [0.000, 0.881, 0.667], [0.500, 0.552, 0.606], [0.500, 0.052, 0.394], [0.500, 0.756, 0.882], [0.500, 0.256, 0.118], [0.000, 0.243, 0.623], [0.000, 0.743, 0.377]]}

=====

(12)
{"formula": "LiCdAs2", "functional": "GGA-PBE", "state": "optimized geometry", "rho_g_cm3": 5.91, "sg": "P4/mmm, No. 123", "formation_energy_ev_per_atom": -0.06, "dft_energy_ev_per_cell": -12.38, "cell": [[-2.937, 0.270, -0.488], [-0.031, -2.690, -1.304], [-1.576, -3.614, 7.494]], "species": ["As", "As", "Cd", "Li"], "fractional_positions": [[0.000, 0.000, 0.964], [0.000, 0.000, 0.536], [0.500, 0.500, 0.250], [0.500, 0.500, 0.750]]}

=====

(13)
{"formula": "LiCd2As", "functional": "GGA-PBE", "state": "optimized geometry", "rho_g_cm3": 6.39, "sg": "Cmmm, No. 65", "formation_energy_ev_per_atom": -0.18, "dft_energy_ev_per_cell": -9.12, "cell": [[4.200, 0.737, 0.000], [-0.928, 4.162, 0.000], [0.000, 0.000, 4.387]], "species": ["As", "Cd", "Cd", "Li"], "fractional_positions": [[0.000, 0.500, 0.500], [0.000, 0.000, 0.000], [0.500, 0.500, 0.000], [0.500, 0.000, 0.500]]}

=====

(14)
{"formula": "Li2CdAs", "functional": "GGA-PBE", "state": "optimized geometry", "rho_g_cm3": 4.67, "sg": "Cm, No. 8", "formation_energy_ev_per_atom": -0.33, "dft_energy_ev_per_cell": -10.72, "cell": [[-3.956, -0.707, -2.889], [-1.449, -1.075, -4.609], [-0.210, -4.926, 0.748]], "species": ["As", "Cd", "Li", "Li"], "fractional_positions": [[0.506, 0.506, 0.455], [0.747, 0.747, 0.780], [0.004, 0.004, 0.991], [0.243, 0.243, 0.274]]}

=====

(15)
{"formula": "LiCd2As2", "functional": "GGA-PBE", "state": "optimized geometry", "rho_g_cm3": 5.36, "e_above_lowest_polymorph_mev_per_atom": 0, "sg": "I4/mmm, No. 139", "formation_energy_ev_per_atom": -0.09, "dft_energy_ev_per_cell": -13.50, "cell": [[4.323, 0.000, 0.000], [0.000, 4.323, 0.000], [2.161, 2.161, 6.327]], "species": ["As", "As", "Li", "Cd", "Cd"], "fractional_positions": [[0.393, 0.393, 0.215], [0.607, 0.607, 0.785], [0.000, 0.000, 0.000], [0.750, 0.250, 0.500], [0.250, 0.750, 0.500]]}

=====

(16)
{"formula": "LiCdAs2", "functional": "GGA-PBE", "state": "optimized geometry", "rho_g_cm3": 5.68, "sg": "P2/m, No. 10", "formation_energy_ev_per_atom": -0.11, "dft_energy_ev_per_cell": -12.57, "cell": [[3.799, 0.000, 0.000], [0.000, 4.854, 0.266], [0.000, 3.335, 4.454]], "species": ["As", "As", "Cd", "Li"], "fractional_positions": [[0.000, 0.000, 0.000], [0.500, 0.500, 0.000], [0.500, 0.500, 0.500], [0.000, 0.000, 0.500]]}

=====

(17)
{"formula": "Li3CdAs2", "functional": "GGA-PBE", "state": "optimized geometry", "rho_g_cm3": 3.77, "e_above_lowest_polymorph_mev_per_atom": 86, "sg": "Ibam, No. 72", "formation_energy_ev_per_atom": -0.39, "dft_energy_ev_per_cell": -36.55, "cell": [[6.210, 0.000, 0.000], [0.000, 6.403, 0.000], [-3.105, -3.202, 6.277]], "species": ["Li", "Li", "Li", "Li", "Li", "Li", "Cd", "Cd", "As", "As", "As", "As"], "fractional_positions": [[0.500, 0.250, 0.000], [0.500, 0.750, 0.000], [0.768, 0.018, 0.535], [0.232, 0.482, 0.465], [0.232, 0.982, 0.465], [0.768, 0.518, 0.535], [0.000, 0.500, 0.000], [0.000, 0.000, 0.000], [0.565, 0.360, 0.720], [0.845, 0.140, 0.280], [0.155, 0.860, 0.720], [0.435, 0.640, 0.280]]}

=====

(18)
{"formula": "LiCdAs4", "functional": "GGA-PBE", "state": "optimized geometry", "rho_g_cm3": 5.49, "sg": "F-43m, No. 216", "formation_energy_ev_per_atom": 0.08, "dft_energy_ev_per_cell": -20.92, "cell": [[-4.933, -2.176, -1.649], [-4.571, 0.598, 3.246], [-4.184, 3.412, -1.624]], "species": ["Li", "Cd", "As", "As", "As", "As"], "fractional_positions": [[0.000, 0.000, 0.000], [0.750, 0.750, 0.750], [0.874, 0.375, 0.375], [0.375, 0.375, 0.874], [0.375, 0.874, 0.375], [0.375, 0.375, 0.375]]}

=====

(19)
{"formula": "LiCdAs2", "functional": "GGA-PBE", "state": "optimized geometry", "rho_g_cm3": 5.37, "sg": "Imm2, No. 44", "formation_energy_ev_per_atom": -0.17, "dft_energy_ev_per_cell": -12.79, "cell": [[6.140, -0.014, 0.004], [3.638, 4.946, -0.004], [-4.669, -2.901, 2.735]], "species": ["As", "As", "Cd", "Li"], "fractional_positions": [[0.934, 0.934, 0.000], [0.762, 0.262, 0.500], [0.542, 0.542, 0.000], [0.262, 0.762, 0.500]]}

=====

(20)
{"formula": "LiCd2As", "functional": "GGA-PBE", "state": "optimized geometry", "rho_g_cm3": 5.85, "sg": "I-42d, No. 122", "formation_energy_ev_per_atom": -0.07, "dft_energy_ev_per_cell": -17.35, "cell": [[4.267, 0.000, 0.000], [0.000, 4.267, 0.000], [2.134, 2.134, 9.557]], "species": ["As", "As", "Li", "Li", "Cd", "Cd", "Cd", "Cd"], "fractional_positions": [[0.000, 0.000, 0.000], [0.750, 0.250, 0.500], [0.500, 0.500, 0.000], [0.250, 0.750, 0.500], [0.620, 0.125, 0.250], [0.130, 0.625, 0.250], [0.375, 0.380, 0.750], [0.875, 0.870, 0.750]]}

=====

(21)
{"formula": "Li2CdAs", "functional": "GGA-PBE", "state": "optimized geometry", "rho_g_cm3": 4.49, "sg": "R-3m, No. 166", "formation_energy_ev_per_atom": -0.29, "dft_energy_ev_per_cell": -10.57, "cell": [[-3.174, -7.909, 3.093], [-3.376, -8.414, 0.031], [-0.689, -8.912, 1.515]], "species": ["As", "Cd", "Li", "Li"], "fractional_positions": [[0.250, 0.250, 0.250], [0.750, 0.750, 0.750], [0.987, 0.987, 0.987], [0.513, 0.513, 0.513]]}

=====

(22)
{"formula": "Li2CdAs", "functional": "GGA-PBE", "state": "optimized geometry", "rho_g_cm3": 4.54, "sg": "C2/m, No. 12", "formation_energy_ev_per_atom": -0.31, "dft_energy_ev_per_cell": -10.64, "cell": [[4.479, 0.009, -0.004], [3.442, 2.865, -0.004], [0.813, 0.295, 5.748]], "species": ["As", "Cd", "Li", "Li"], "fractional_positions": [[0.250, 0.250, 0.250], [0.750, 0.750, 0.750], [0.989, 0.989, 0.047], [0.511, 0.511, 0.453]]}

=====

(23)
{"formula": "LiCdAs2", "functional": "GGA-PBE", "state": "optimized geometry", "rho_g_cm3": 5.57, "sg": "C2/m, No. 12", "formation_energy_ev_per_atom": -0.18, "dft_energy_ev_per_cell": -12.86, "cell": [[4.658, 0.012, -0.017], [3.284, 3.304, -0.017], [1.310, 0.547, 5.219]], "species": ["As", "As", "Cd", "Li"], "fractional_positions": [[0.001, 0.001, 0.067], [0.499, 0.499, 0.433], [0.750, 0.750, 0.750], [0.250, 0.250, 0.250]]}

=====

(24)
{"formula": "LiCd2As", "functional": "GGA-PBE", "state": "optimized geometry", "rho_g_cm3": 6.37, "sg": "Pmm2, No. 25", "formation_energy_ev_per_atom": -0.16, "dft_energy_ev_per_cell": -9.04, "cell": [[-0.122, -0.764, 3.056], [-1.223, -3.780, -0.994], [5.906, -1.851, -0.228]], "species": ["As", "Cd", "Cd", "Li"], "fractional_positions": [[0.500, 0.500, 0.713], [0.000, 0.000, 0.001], [0.500, 0.500, 0.260], [0.000, 0.000, 0.527]]}

=====

(25)
{"formula": "LiCd2As", "functional": "GGA-PBE", "state": "optimized geometry", "rho_g_cm3": 6.22, "sg": "Pm, No. 6", "formation_energy_ev_per_atom": -0.20, "dft_energy_ev_per_cell": -9.18, "cell": [[4.127, 0.000, 0.000], [0.000, 3.174, -0.045], [0.000, 1.404, 6.225]], "species": ["As", "Cd", "Cd", "Li"], "fractional_positions": [[0.500, 0.970, 0.689], [0.000, 0.807, 0.001], [0.500, 0.198, 0.249], [0.000, 0.525, 0.562]]}

=====

(26)
{"formula": "LiCdAs2", "functional": "GGA-PBE", "state": "optimized geometry", "rho_g_cm3": 5.59, "sg": "P2/m, No. 10", "formation_energy_ev_per_atom": -0.16, "dft_energy_ev_per_cell": -12.75, "cell": [[3.757, 0.000, 0.000], [0.000, 3.760, 0.248], [0.000, 2.808, 5.843]], "species": ["As", "As", "Cd", "Li"], "fractional_positions": [[0.000, 0.053, 0.961], [0.000, 0.447, 0.539], [0.500, 0.250, 0.250], [0.500, 0.750, 0.750]]}

=====

(27)
{"formula": "LiCdAs2", "functional": "GGA-PBE", "state": "optimized geometry", "rho_g_cm3": 5.73, "sg": "R-3m, No. 166", "formation_energy_ev_per_atom": -0.06, "dft_energy_ev_per_cell": -12.36, "cell": [[-6.921, 1.903, -5.039], [-8.007, -0.737, -3.502], [-8.236, 2.171, -2.088]], "species": ["As", "As", "Cd", "Li"], "fractional_positions": [[0.004, 0.004, 0.004], [0.496, 0.496, 0.496], [0.250, 0.250, 0.250], [0.750, 0.750, 0.750]]}

=====

(28)
{"formula": "LiCd2As", "functional": "GGA-PBE", "state": "optimized geometry", "rho_g_cm3": 6.17, "sg": "Cm, No. 8", "formation_energy_ev_per_atom": -0.14, "dft_energy_ev_per_cell": -8.94, "cell": [[4.649, 0.010, -0.027], [3.585, 2.960, -0.027], [0.874, 0.315, 6.012]], "species": ["As", "Cd", "Cd", "Li"], "fractional_positions": [[0.245, 0.245, 0.304], [0.997, 0.997, 0.002], [0.753, 0.753, 0.726], [0.506, 0.506, 0.467]]}